(1)
A plane-wave DFT calculation with PBE was carried out for a relaxed structure of Hg4I3Br.

Summary:
energy relative to the elements, uncorrected = -0.27 eV/atom

```
data_Hg4I3Br
_cell_length_a 4.7397
_cell_length_b 6.6028
_cell_length_c 11.2864
_cell_angle_alpha 74.75
_cell_angle_beta 81.00
_cell_angle_gamma 70.21
_space_group_name_H-M_alt 'P 1'
_space_group_IT_number 1
_space_group_name_Hall 'P 1'
loop_
_atom_site_label
_atom_site_fract_x
_atom_site_fract_y
_atom_site_fract_z
Hg1 0.0000 0.0000 0.0000
Hg2 0.0635 0.5022 0.6060
Hg3 0.6589 0.8758 0.5076
Hg4 0.7871 0.3839 0.0657
I1 0.1752 0.1828 0.3890
I2 0.5458 0.1824 0.7201
I3 0.5575 0.7175 0.1921
Br1 0.1969 0.6639 0.8941
```



(2)
A plane-wave DFT calculation with PBE was carried out for a relaxed structure of HgI3Br.

Summary:
energy relative to the elements, uncorrected = 0.27 eV/atom

```
data_HgI3Br
_cell_length_a 5.9154
_cell_length_b 5.9154
_cell_length_c 5.9154
_cell_angle_alpha 90.00
_cell_angle_beta 90.00
_cell_angle_gamma 90.00
_space_group_name_H-M_alt 'P m -3 m'
_space_group_IT_number 221
_space_group_name_Hall '-P 4 2 3'
loop_
_atom_site_label
_atom_site_fract_x
_atom_site_fract_y
_atom_site_fract_z
Hg1 0.0000 0.0000 0.0000
I1 0.0000 0.0000 0.5000
Br1 0.5000 0.5000 0.5000
```



(3)
A plane-wave DFT calculation with PBE was carried out for a relaxed structure of Hg2I2Br.

Summary:
energy relative to the elements, uncorrected = -0.05 eV/atom

```
data_Hg2I2Br
_cell_length_a 8.5321
_cell_length_b 8.5321
_cell_length_c 4.4466
_cell_angle_alpha 90.00
_cell_angle_beta 90.00
_cell_angle_gamma 90.00
_space_group_name_H-M_alt 'P 4/m b m'
_space_group_IT_number 127
_space_group_name_Hall '-P 4 2ab'
loop_
_atom_site_label
_atom_site_fract_x
_atom_site_fract_y
_atom_site_fract_z
Hg1 0.1845 0.3155 0.0000
I1 0.1468 0.6468 0.5000
Br1 0.0000 0.0000 0.0000
```



(4)
A plane-wave DFT calculation with PBE was carried out for a relaxed structure of Hg2I2Br.

Summary:
energy relative to the elements, uncorrected = -0.16 eV/atom

```
data_Hg2I2Br
_cell_length_a 8.7542
_cell_length_b 8.7542
_cell_length_c 13.5881
_cell_angle_alpha 90.00
_cell_angle_beta 90.00
_cell_angle_gamma 90.00
_space_group_name_H-M_alt 'I 41 m d'
_space_group_IT_number 109
_space_group_name_Hall 'I 4bw -2'
loop_
_atom_site_label
_atom_site_fract_x
_atom_site_fract_y
_atom_site_fract_z
Hg1 0.0000 0.2107 0.0000
I1 0.0000 0.2277 0.2271
Br1 0.0000 0.0000 0.6822
```



(5)
A plane-wave DFT calculation with PBE was carried out for a relaxed structure of Hg4I3Br4.

Summary:
energy relative to the elements, uncorrected = -0.30 eV/atom

```
data_Hg4I3Br4
_cell_length_a 7.4638
_cell_length_b 8.6146
_cell_length_c 8.9662
_cell_angle_alpha 77.30
_cell_angle_beta 82.52
_cell_angle_gamma 72.12
_space_group_name_H-M_alt 'P -1'
_space_group_IT_number 2
_space_group_name_Hall '-P 1'
loop_
_atom_site_label
_atom_site_fract_x
_atom_site_fract_y
_atom_site_fract_z
Hg1 0.1721 0.2727 0.0626
Hg2 0.3019 0.7261 0.2546
I1 0.0145 0.0460 0.2598
I2 0.5000 0.5000 0.5000
Br1 0.0077 0.5695 0.1960
Br2 0.4636 0.7698 0.9502
```



(6)
A plane-wave DFT calculation with PBE was carried out for a relaxed structure of HgIBr.

Summary:
energy relative to the elements, uncorrected = -0.36 eV/atom

```
data_HgIBr
_cell_length_a 4.2855
_cell_length_b 4.5014
_cell_length_c 6.6155
_cell_angle_alpha 90.00
_cell_angle_beta 90.23
_cell_angle_gamma 90.00
_space_group_name_H-M_alt 'P 1 m 1'
_space_group_IT_number 6
_space_group_name_Hall 'P -2y'
loop_
_atom_site_label
_atom_site_fract_x
_atom_site_fract_y
_atom_site_fract_z
Hg1 0.0000 0.0000 0.0000
I1 0.9940 0.5000 0.7388
Br1 0.5004 0.0000 0.2530
```



Number 1: total magnetization 0.00 μB/atom. Number 2: total magnetization 0.38 μB/atom. Number 3: total magnetization 0.00 μB/atom. Number 4: total magnetization 0.00 μB/atom. Number 5: total magnetization 0.00 μB/atom. Number 6: total magnetization 0.00 μB/atom.